# PrPd PBE relaxed
# * calculated density: 5.89 g cm⁻³
# * energy of formation from the pure elements: -0.082 eV/atom
# * total energy: -5.06 eV/atom
data_PrPd
_chemical_formula_sum 'Pr4 Pd4'
_cell_length_a 6.532
_cell_length_b 6.532
_cell_length_c 6.532
_cell_angle_alpha 90.00
_cell_angle_beta 90.00
_cell_angle_gamma 90.00
_symmetry_space_group_name_H-M 'F -4 3 m'
_symmetry_Int_Tables_number 216
_symmetry_space_group_name_Hall 'F -4 2 3'
loop_
_atom_site_label
_atom_site_type_symbol
_atom_site_fract_x
_atom_site_fract_y
_atom_site_fract_z
_atom_site_occupancy
Pr1 Pr 0.000 0.000 0.000 1
Pd1 Pd 0.250 0.250 0.250 1